No. 1
This record from the Alexandria database describes an optimized crystal structure of LaDy7Y3. The functional is PBE.

The structure in CIF format:
```
data_LaDy7Y3
_chemical_formula_sum 'La1 Dy7 Y3'
_cell_length_a 7.003
_cell_length_b 5.581
_cell_length_c 9.898
_cell_angle_alpha 90.00
_cell_angle_beta 109.76
_cell_angle_gamma 90.00
_space_group_name_H-M_alt 'P 1 2/m 1'
_space_group_IT_number 10
_space_group_name_Hall '-P 2y'
loop_
_atom_site_label
_atom_site_type_symbol
_atom_site_fract_x
_atom_site_fract_y
_atom_site_fract_z
La1 La 0.000 0.000 0.000
Dy1 Dy 0.000 0.000 0.500
Dy2 Dy 0.145 0.500 0.791
Dy3 Dy 0.328 0.500 0.143
Dy4 Dy 0.423 0.000 0.332
Y1 Y 0.277 0.500 0.497
Y2 Y 0.500 0.000 0.000
```

Output
Energy above the lowest structure with this stoichiometry in meV/atom: 0
E_form in eV/atom: 0.148
Uncorrected energy in eV/cell: -54.91

No. 2
This record from the Alexandria database describes an optimized crystal structure of La5Dy6Y2. The functional is PBE.

The structure in CIF format:
```
data_La5Dy6Y2
_chemical_formula_sum 'La10 Dy12 Y4'
_cell_length_a 11.746
_cell_length_b 20.797
_cell_length_c 3.635
_cell_angle_alpha 90.00
_cell_angle_beta 90.00
_cell_angle_gamma 90.00
_space_group_name_H-M_alt 'P b a m'
_space_group_IT_number 55
_space_group_name_Hall '-P 2 2ab'
loop_
_atom_site_label
_atom_site_type_symbol
_atom_site_fract_x
_atom_site_fract_y
_atom_site_fract_z
La1 La 0.000 0.000 0.000
La2 La 0.082 0.272 0.000
La3 La 0.200 0.548 0.000
Dy1 Dy 0.061 0.418 0.500
Dy2 Dy 0.080 0.131 0.500
Dy3 Dy 0.176 0.861 0.000
Y1 Y 0.172 0.710 0.500
```

Output
E_form in eV/atom: 0.093
Uncorrected energy in eV/cell: -127.94

No. 3
This record from the Alexandria database describes an optimized crystal structure of La3Dy3Y5. The functional is PBE.

The structure in CIF format:
```
data_La3Dy3Y5
_chemical_formula_sum 'La3 Dy3 Y5'
_cell_length_a 9.6194
_cell_length_b 9.6194
_cell_length_c 5.6414
_cell_angle_alpha 90.00
_cell_angle_beta 90.00
_cell_angle_gamma 120.00
_space_group_name_H-M_alt 'P -6 2 m'
_space_group_IT_number 189
_space_group_name_Hall 'P -6 -2'
loop_
_atom_site_label
_atom_site_type_symbol
_atom_site_fract_x
_atom_site_fract_y
_atom_site_fract_z
La1 La 0.0000 0.3945 0.0000
Dy1 Dy 0.0000 0.2502 0.5000
Y1 Y 0.0000 0.6229 0.5000
Y2 Y 0.3333 0.6667 0.5000
```

Output
Energy above the lowest structure with this stoichiometry in meV/atom: 0
E_form in eV/atom: 0.745
Uncorrected energy in eV/cell: -52.71

No. 4
This record from the Alexandria database describes an optimized crystal structure of La2Dy6Y. The functional is PBE.

The structure in CIF format:
```
data_La2Dy6Y
_chemical_formula_sum 'La4 Dy12 Y2'
_cell_length_a 9.163
_cell_length_b 17.704
_cell_length_c 3.692
_cell_angle_alpha 90.00
_cell_angle_beta 99.81
_cell_angle_gamma 90.00
_space_group_name_H-M_alt 'C 1 2/m 1'
_space_group_IT_number 12
_space_group_name_Hall '-C 2y'
loop_
_atom_site_label
_atom_site_type_symbol
_atom_site_fract_x
_atom_site_fract_y
_atom_site_fract_z
La1 La 0.000 0.168 0.000
Dy1 Dy 0.163 0.335 0.337
Dy2 Dy 0.165 0.500 0.837
Y1 Y 0.000 0.000 0.500
```

Output
Energy above the lowest structure with this stoichiometry in meV/atom: 45
E_form in eV/atom: 0.112
Uncorrected energy in eV/cell: -85.85

No. 5
This record from the Alexandria database describes an optimized crystal structure of La9Dy2Y. The functional is PBE.

The structure in CIF format:
```
data_La9Dy2Y
_chemical_formula_sum 'La9 Dy2 Y1'
_cell_length_a 5.207
_cell_length_b 5.207
_cell_length_c 15.620
_cell_angle_alpha 90.00
_cell_angle_beta 90.00
_cell_angle_gamma 90.00
_space_group_name_H-M_alt 'P 4/m m m'
_space_group_IT_number 123
_space_group_name_Hall '-P 4 2'
loop_
_atom_site_label
_atom_site_type_symbol
_atom_site_fract_x
_atom_site_fract_y
_atom_site_fract_z
La1 La 0.000 0.000 0.000
La2 La 0.000 0.000 0.334
La3 La 0.000 0.500 0.167
La4 La 0.000 0.500 0.500
Dy1 Dy 0.500 0.500 0.333
Y1 Y 0.500 0.500 0.000
```

Output
E_form in eV/atom: 0.007
Uncorrected energy in eV/cell: -59.93

No. 6
This record from the Alexandria database describes an optimized crystal structure of LaDy5Y4. The functional is PBE.

The structure in CIF format:
```
data_LaDy5Y4
_chemical_formula_sum 'La2 Dy10 Y8'
_cell_length_a 10.216
_cell_length_b 10.216
_cell_length_c 6.339
_cell_angle_alpha 90.00
_cell_angle_beta 90.00
_cell_angle_gamma 90.00
_space_group_name_H-M_alt 'I 4'
_space_group_IT_number 79
_space_group_name_Hall 'I 4'
loop_
_atom_site_label
_atom_site_type_symbol
_atom_site_fract_x
_atom_site_fract_y
_atom_site_fract_z
La1 La 0.000 0.000 0.000
Dy1 Dy 0.000 0.000 0.544
Dy2 Dy 0.145 0.230 0.275
Y1 Y 0.048 0.346 0.768
```

Output
E_form in eV/atom: 0.296
Uncorrected energy in eV/cell: -101.67

No. 7
This record from the Alexandria database describes an optimized crystal structure of La11Dy9Y4. The functional is PBE.

The structure in CIF format:
```
data_La11Dy9Y4
_chemical_formula_sum 'La22 Dy18 Y8'
_cell_length_a 17.244
_cell_length_b 26.074
_cell_length_c 3.700
_cell_angle_alpha 90.00
_cell_angle_beta 90.00
_cell_angle_gamma 90.00
_space_group_name_H-M_alt 'C m m m'
_space_group_IT_number 65
_space_group_name_Hall '-C 2 2'
loop_
_atom_site_label
_atom_site_type_symbol
_atom_site_fract_x
_atom_site_fract_y
_atom_site_fract_z
La1 La 0.000 0.000 0.000
La2 La 0.000 0.160 0.000
La3 La 0.000 0.368 0.000
La4 La 0.209 0.500 0.000
La5 La 0.221 0.181 0.000
Dy1 Dy 0.000 0.500 0.500
Dy2 Dy 0.101 0.268 0.500
Dy3 Dy 0.141 0.073 0.500
Y1 Y 0.158 0.398 0.500
```

Output
E_form in eV/atom: 0.075
Uncorrected energy in eV/cell: -239.36

No. 8
This record from the Alexandria database describes an optimized crystal structure of La5DyY2. The functional is PBE.

The structure in CIF format:
```
data_La5DyY2
_chemical_formula_sum 'La20 Dy4 Y8'
_cell_length_a 5.710
_cell_length_b 12.162
_cell_length_c 16.540
_cell_angle_alpha 90.00
_cell_angle_beta 90.00
_cell_angle_gamma 90.00
_space_group_name_H-M_alt 'C m c m'
_space_group_IT_number 63
_space_group_name_Hall '-C 2c 2'
loop_
_atom_site_label
_atom_site_type_symbol
_atom_site_fract_x
_atom_site_fract_y
_atom_site_fract_z
La1 La 0.000 0.029 0.250
La2 La 0.000 0.112 0.553
La3 La 0.000 0.421 0.593
Dy1 Dy 0.000 0.250 0.750
Y1 Y 0.000 0.275 0.136
```

Output
E_form in eV/atom: 0.115
Uncorrected energy in eV/cell: -165.00

No. 9
This record from the Alexandria database describes an optimized crystal structure of La3DyY8. The functional is PBE.

The structure in CIF format:
```
data_La3DyY8
_chemical_formula_sum 'La6 Dy2 Y16'
_cell_length_a 8.862
_cell_length_b 8.862
_cell_length_c 11.412
_cell_angle_alpha 90.00
_cell_angle_beta 90.00
_cell_angle_gamma 90.00
_space_group_name_H-M_alt 'I -4 2 m'
_space_group_IT_number 121
_space_group_name_Hall 'I -4 2'
loop_
_atom_site_label
_atom_site_type_symbol
_atom_site_fract_x
_atom_site_fract_y
_atom_site_fract_z
La1 La 0.000 0.000 0.000
La2 La 0.000 0.500 0.250
Dy1 Dy 0.000 0.000 0.500
Y1 Y 0.124 0.124 0.745
Y2 Y 0.243 0.243 0.487
```

Output
E_form in eV/atom: 0.607
Uncorrected energy in eV/cell: -127.62

No. 10
This record from the Alexandria database describes an optimized crystal structure of LaDy2Y7. The functional is PBE.

The structure in CIF format:
```
data_LaDy2Y7
_chemical_formula_sum 'La1 Dy2 Y7'
_cell_length_a 6.205
_cell_length_b 6.212
_cell_length_c 9.483
_cell_angle_alpha 102.52
_cell_angle_beta 109.05
_cell_angle_gamma 99.65
_space_group_name_H-M_alt 'P -1'
_space_group_IT_number 2
_space_group_name_Hall '-P 1'
loop_
_atom_site_label
_atom_site_type_symbol
_atom_site_fract_x
_atom_site_fract_y
_atom_site_fract_z
La1 La 0.000 0.000 0.000
Dy1 Dy 0.401 0.501 0.302
Y1 Y 0.000 0.500 0.500
Y2 Y 0.201 0.500 0.899
Y3 Y 0.202 0.002 0.401
Y4 Y 0.399 0.000 0.797
```

Output
Energy above the lowest structure with this stoichiometry in meV/atom: 0
E_form in eV/atom: 0.026
Uncorrected energy in eV/cell: -59.12

No. 11
This record from the Alexandria database describes an optimized crystal structure of La3Dy4Y2. The functional is PBE.

The structure in CIF format:
```
data_La3Dy4Y2
_chemical_formula_sum 'La6 Dy8 Y4'
_cell_length_a 11.770
_cell_length_b 5.783
_cell_length_c 9.149
_cell_angle_alpha 90.00
_cell_angle_beta 101.58
_cell_angle_gamma 90.00
_space_group_name_H-M_alt 'C 1 2/m 1'
_space_group_IT_number 12
_space_group_name_Hall '-C 2y'
loop_
_atom_site_label
_atom_site_type_symbol
_atom_site_fract_x
_atom_site_fract_y
_atom_site_fract_z
La1 La 0.000 0.000 0.000
La2 La 0.129 0.000 0.691
Dy1 Dy 0.178 0.500 0.962
Dy2 Dy 0.225 0.000 0.369
Y1 Y 0.059 0.500 0.308
```

Output
E_form in eV/atom: 0.100
Uncorrected energy in eV/cell: -90.43

No. 12
This record from the Alexandria database describes an optimized crystal structure of LaDy6Y3. The functional is PBE.

The structure in CIF format:
```
data_LaDy6Y3
_chemical_formula_sum 'La4 Dy24 Y12'
_cell_length_a 11.119
_cell_length_b 19.040
_cell_length_c 6.181
_cell_angle_alpha 90.00
_cell_angle_beta 90.00
_cell_angle_gamma 90.00
_space_group_name_H-M_alt 'C m c 21'
_space_group_IT_number 36
_space_group_name_Hall 'C 2c -2'
loop_
_atom_site_label
_atom_site_type_symbol
_atom_site_fract_x
_atom_site_fract_y
_atom_site_fract_z
La1 La 0.000 0.207 0.000
Dy1 Dy 0.000 0.047 0.225
Dy2 Dy 0.000 0.285 0.516
Dy3 Dy 0.166 0.452 0.621
Dy4 Dy 0.247 0.212 0.281
Y1 Y 0.000 0.391 0.079
Y2 Y 0.173 0.108 0.686
```

Output
Energy above the lowest structure with this stoichiometry in meV/atom: 0
E_form in eV/atom: 0.147
Uncorrected energy in eV/cell: -201.83